# SmTmAu4

A geometry-optimized SmTmAu4 structure (PBE-GGA, the Open Quantum Materials Database).

Unit cell a=3.739 b=3.739 c=9.087 alpha=90.00 beta=90.00 gamma=90.00
Fractional positions:
Sm 0.000 0.000 0.000
Tm 0.500 0.500 0.500
Au 0.000 0.000 0.340
Au 0.000 0.000 0.660
Au 0.500 0.500 0.171
Au 0.500 0.500 0.829

Summary:
Volume (Å³/cell): 127.0
Magnetic moment (μB/cell): 0.0
Total DFT energy (no corrections) (eV per atom): -4.554
Energy of formation from the pure elements (eV/atom): -0.85
Density (g/cm³): 14.5

***

# BaMg2ZnPb

A geometry-optimized BaMg2ZnPb structure (PBE-GGA, the Open Quantum Materials Database).

Unit cell a=7.094 b=7.094 c=7.094 alpha=140.42 beta=140.42 gamma=57.21
Fractional positions:
Ba 0.000 0.000 0.000
Mg 0.243 0.743 0.500
Mg 0.743 0.243 0.500
Zn 0.617 0.617 0.000
Pb 0.389 0.389 0.000

Summary:
Volume (Å³/cell): 143.7
Total DFT energy (no corrections) (eV per atom): -2.286
Density (g/cm³): 5.3

***

# AcAgW

A geometry-optimized AcAgW structure (PBE-GGA, the Open Quantum Materials Database).

Unit cell a=4.969 b=4.969 c=4.969 alpha=60.00 beta=60.00 gamma=60.00
Fractional positions:
Ac 0.000 0.000 0.000
Ag 0.250 0.250 0.250
W 0.500 0.500 0.500

Summary:
ΔE to the lowest computed polymorph (eV/atom): 0.000
Volume (Å³/cell): 86.8
Magnetic moment (μB/cell): 3.4
Total DFT energy (no corrections) (eV per atom): -5.390
Energy of formation from the pure elements (eV/atom): 1.24
Density (g/cm³): 9.9

***

# SrNdZr

A geometry-optimized SrNdZr structure (PBE-GGA, the Open Quantum Materials Database).

Unit cell a=5.476 b=5.476 c=5.476 alpha=60.00 beta=60.00 gamma=60.00
Fractional positions:
Sr 0.000 0.000 0.000
Nd 0.250 0.250 0.250
Zr 0.500 0.500 0.500

Summary:
Volume (Å³/cell): 116.1
Magnetic moment (μB/cell): 3.0
Total DFT energy (no corrections) (eV per atom): -3.857
Density (g/cm³): 4.6

***

# GeAu124

A geometry-optimized GeAu124 structure (PBE-GGA, the Open Quantum Materials Database).

Unit cell a=14.737 b=14.737 c=14.737 alpha=60.00 beta=60.00 gamma=60.00
Fractional positions:
Ge 0.000 0.000 0.000
Au 0.000 0.000 0.200
Au 0.000 0.000 0.400
Au 0.000 0.000 0.600
Au 0.000 0.000 0.800
Au 0.000 0.200 0.000
Au 0.000 0.200 0.200
Au 0.000 0.200 0.400
Au 0.000 0.200 0.600
Au 0.000 0.200 0.800
Au 0.000 0.400 0.000
Au 0.000 0.400 0.200
Au 0.000 0.400 0.400
Au 0.000 0.400 0.600
Au 0.000 0.400 0.800
Au 0.000 0.600 0.000
Au 0.000 0.600 0.200
Au 0.000 0.600 0.400
Au 0.000 0.600 0.600
Au 0.000 0.600 0.800
Au 0.000 0.800 0.000
Au 0.000 0.800 0.200
Au 0.000 0.800 0.400
Au 0.000 0.800 0.600
Au 0.000 0.800 0.800
Au 0.200 0.000 0.000
Au 0.200 0.000 0.200
Au 0.200 0.000 0.400
Au 0.200 0.000 0.600
Au 0.200 0.000 0.800
Au 0.200 0.200 0.000
Au 0.200 0.200 0.200
Au 0.200 0.200 0.400
Au 0.200 0.200 0.600
Au 0.200 0.200 0.800
Au 0.200 0.400 0.000
Au 0.200 0.400 0.200
Au 0.200 0.400 0.400
Au 0.200 0.400 0.600
Au 0.200 0.400 0.800
Au 0.200 0.600 0.000
Au 0.200 0.600 0.200
Au 0.200 0.600 0.400
Au 0.200 0.600 0.600
Au 0.200 0.600 0.800
Au 0.200 0.800 0.000
Au 0.200 0.800 0.200
Au 0.200 0.800 0.400
Au 0.200 0.800 0.600
Au 0.200 0.800 0.800
Au 0.400 0.000 0.000
Au 0.400 0.000 0.200
Au 0.400 0.000 0.400
Au 0.400 0.000 0.600
Au 0.400 0.000 0.800
Au 0.400 0.200 0.000
Au 0.400 0.200 0.200
Au 0.400 0.200 0.400
Au 0.400 0.200 0.600
Au 0.400 0.200 0.800
Au 0.400 0.400 0.000
Au 0.400 0.400 0.200
Au 0.400 0.400 0.400
Au 0.400 0.400 0.600
Au 0.400 0.400 0.800
Au 0.400 0.600 0.000
Au 0.400 0.600 0.200
Au 0.400 0.600 0.400
Au 0.400 0.600 0.600
Au 0.400 0.600 0.800
Au 0.400 0.800 0.000
Au 0.400 0.800 0.200
Au 0.400 0.800 0.400
Au 0.400 0.800 0.600
Au 0.400 0.800 0.800
Au 0.600 0.000 0.000
Au 0.600 0.000 0.200
Au 0.600 0.000 0.400
Au 0.600 0.000 0.600
Au 0.600 0.000 0.800
Au 0.600 0.200 0.000
Au 0.600 0.200 0.200
Au 0.600 0.200 0.400
Au 0.600 0.200 0.600
Au 0.600 0.200 0.800
Au 0.600 0.400 0.000
Au 0.600 0.400 0.200
Au 0.600 0.400 0.400
Au 0.600 0.400 0.600
Au 0.600 0.400 0.800
Au 0.600 0.600 0.000
Au 0.600 0.600 0.200
Au 0.600 0.600 0.400
Au 0.600 0.600 0.600
Au 0.600 0.600 0.800
Au 0.600 0.800 0.000
Au 0.600 0.800 0.200
Au 0.600 0.800 0.400
Au 0.600 0.800 0.600
Au 0.600 0.800 0.800
Au 0.800 0.000 0.000
Au 0.800 0.000 0.200
Au 0.800 0.000 0.400
Au 0.800 0.000 0.600
Au 0.800 0.000 0.800
Au 0.800 0.200 0.000
Au 0.800 0.200 0.200
Au 0.800 0.200 0.400
Au 0.800 0.200 0.600
Au 0.800 0.200 0.800
Au 0.800 0.400 0.000
Au 0.800 0.400 0.200
Au 0.800 0.400 0.400
Au 0.800 0.400 0.600
Au 0.800 0.400 0.800
Au 0.800 0.600 0.000
Au 0.800 0.600 0.200
Au 0.800 0.600 0.400
Au 0.800 0.600 0.600
Au 0.800 0.600 0.800
Au 0.800 0.800 0.000
Au 0.800 0.800 0.200
Au 0.800 0.800 0.400
Au 0.800 0.800 0.600
Au 0.800 0.800 0.800

Summary:
Volume (Å³/cell): 2263.2
Total DFT energy (no corrections) (eV per atom): -3.281
Density (g/cm³): 18.0

***

# Dy4YTm2Ni2Se2

A geometry-optimized Dy4YTm2Ni2Se2 structure (PBE-GGA, the Open Quantum Materials Database).

Unit cell a=9.050 b=9.050 c=9.050 alpha=155.82 beta=67.18 gamma=118.40
Fractional positions:
Dy 0.125 0.000 0.125
Dy 0.205 0.846 0.359
Dy 0.488 0.846 0.641
Dy 0.875 0.000 0.875
Y 0.588 0.588 0.000
Tm 0.520 0.204 0.316
Tm 0.888 0.204 0.684
Ni 0.273 0.511 0.762
Ni 0.750 0.511 0.238
Se 0.249 0.249 0.000
Se 0.843 0.343 0.500

Summary:
Volume (Å³/cell): 264.8
Magnetic moment (μB/cell): 0.0
Total DFT energy (no corrections) (eV per atom): -5.541
Density (g/cm³): 8.5

***

# LuBe2In

A geometry-optimized LuBe2In structure (PBE-GGA, the Open Quantum Materials Database).

Unit cell a=4.596 b=4.596 c=4.596 alpha=60.00 beta=60.00 gamma=60.00
Fractional positions:
Lu 0.000 0.000 0.000
Be 0.250 0.250 0.250
Be 0.500 0.500 0.500
In 0.750 0.750 0.750

Summary:
Volume (Å³/cell): 68.7
Magnetic moment (μB/cell): 0.0
Total DFT energy (no corrections) (eV per atom): -3.368
Density (g/cm³): 7.4

***

# CoCuMoPb

A geometry-optimized CoCuMoPb structure (PBE-GGA, the Open Quantum Materials Database).

Unit cell a=4.432 b=4.432 c=4.432 alpha=60.00 beta=60.00 gamma=60.00
Fractional positions:
Co 0.000 0.000 0.000
Cu 0.500 0.500 0.500
Mo 0.250 0.250 0.250
Pb 0.750 0.750 0.750

Summary:
ΔE to the lowest computed polymorph (eV/atom): 0.000
Volume (Å³/cell): 61.6
Magnetic moment (μB/cell): 2.0
Total DFT energy (no corrections) (eV per atom): -5.761
Density (g/cm³): 11.5

***

Question: The lowest volume belongs to which entry?
Answer: CoCuMoPb